! Nd3Pd2 | Alexandria | PBE | relaxed; values from VASP
! formation enthalpy at 0 K = -539 meV per atom
! raw total energy = -5.476 eV/atom
! energy above the most stable polymorph in this dataset = 0.089 eV/atom
! M_tot = 0.0 μB per formula unit
&SYSTEM
  ibrav = 0, nat = 15, ntyp = 2
/
ATOMIC_SPECIES
Nd 144.24 Nd.upf
Pd 106.42 Pd.upf
ATOMIC_POSITIONS angstrom
Nd 0.0000 0.0000 0.0000
Nd -0.3964 0.0000 7.2515
Nd 4.7761 0.0000 4.2525
Nd 6.0093 0.0000 0.5744
Nd 5.7024 0.0000 7.9461
Nd 11.1909 0.0000 3.0355
Nd 10.8840 0.0000 10.4072
Nd 12.1172 0.0000 6.7291
Nd 17.2897 0.0000 3.7301
Pd 1.6805 0.0000 5.0640
Pd 3.1960 0.0000 1.4347
Pd 8.5332 0.0000 1.9092
Pd 8.3601 0.0000 9.0725
Pd 13.6973 0.0000 9.5469
Pd 15.2128 0.0000 5.9176
CELL_PARAMETERS angstrom
9.2677 -2.1770 0.0000
9.2677 2.1770 0.0000
-1.6420 0.0000 10.9816